No. 1
# Sr3MnSi2O8 (PBE with a Hubbard U, optimized geometry)
# V: 13.63 Å³ per atom
# E_tot: -7.31 eV/atom
data_Sr3MnSi2O8
_chemical_formula_sum 'Sr3 Mn1 Si2 O8'
_symmetry_space_group_name_H-M 'P -3 m 1'
_symmetry_Int_Tables_number 164
_symmetry_space_group_name_Hall '-P 3 2"'
_cell_length_a 5.5870
_cell_length_b 5.5870
_cell_length_c 7.0566
_cell_angle_alpha 90.00
_cell_angle_beta 90.00
_cell_angle_gamma 120.00
loop_
_atom_site_label
_atom_site_fract_x
_atom_site_fract_y
_atom_site_fract_z
Sr1 0.0000 0.0000 0.0000
Sr2 0.3333 0.6667 0.6601
Mn1 0.0000 0.0000 0.5000
Si1 0.3333 0.6667 0.2157
O1 0.1754 0.3508 0.3073
O2 0.3333 0.6667 0.9879

=====

No. 2
# TiMn2SiO (PBE with a Hubbard U, optimized geometry)
# V: 21.30 Å³ per atom
# E_tot: -5.90 eV/atom
data_TiMn2SiO
_chemical_formula_sum 'Ti1 Mn2 Si1 O1'
_symmetry_space_group_name_H-M 'P 4/m m m'
_symmetry_Int_Tables_number 123
_symmetry_space_group_name_Hall '-P 4 2'
_cell_length_a 4.699
_cell_length_b 4.699
_cell_length_c 4.822
_cell_angle_alpha 90.00
_cell_angle_beta 90.00
_cell_angle_gamma 90.00
loop_
_atom_site_label
_atom_site_fract_x
_atom_site_fract_y
_atom_site_fract_z
Ti1 0.000 0.000 0.000
Mn1 0.000 0.500 0.500
Si1 0.000 0.000 0.500
O1 0.500 0.500 0.000

=====

No. 3
# MnTl2SiO4 (PBE with a Hubbard U, optimized geometry)
# V: 19.54 Å³ per atom
# E_tot: -6.23 eV/atom
data_MnTl2SiO4
_chemical_formula_sum 'Mn8 Tl16 Si8 O32'
_symmetry_space_group_name_H-M 'F d d d'
_symmetry_Int_Tables_number 70
_cell_length_a 5.290
_cell_length_b 11.237
_cell_length_c 21.031
_cell_angle_alpha 90.00
_cell_angle_beta 90.00
_cell_angle_gamma 90.00
loop_
_symmetry_equiv_pos_as_xyz
'x,y,z'
'-x,-y,-z'
'-x+1/4,-y+1/4,z'
'x+1/4,y+1/4,-z'
'x,-y+1/4,-z+1/4'
'-x,y+1/4,z+1/4'
'-x+1/4,y,-z+1/4'
'x+1/4,-y,z+1/4'
'x,y+1/2,z+1/2'
'-x,-y+1/2,-z+1/2'
'-x+1/4,-y+3/4,z+1/2'
'x+1/4,y+3/4,-z+1/2'
'x,-y+3/4,-z+3/4'
'-x,y+3/4,z+3/4'
'-x+1/4,y+1/2,-z+3/4'
'x+1/4,-y+1/2,z+3/4'
'x+1/2,y,z+1/2'
'-x+1/2,-y,-z+1/2'
'-x+3/4,-y+1/4,z+1/2'
'x+3/4,y+1/4,-z+1/2'
'x+1/2,-y+1/4,-z+3/4'
'-x+1/2,y+1/4,z+3/4'
'-x+3/4,y,-z+3/4'
'x+3/4,-y,z+3/4'
'x+1/2,y+1/2,z'
'-x+1/2,-y+1/2,-z'
'-x+3/4,-y+3/4,z'
'x+3/4,y+3/4,-z'
'x+1/2,-y+3/4,-z+1/4'
'-x+1/2,y+3/4,z+1/4'
'-x+3/4,y+1/2,-z+1/4'
'x+3/4,-y+1/2,z+1/4'
loop_
_atom_site_label
_atom_site_fract_x
_atom_site_fract_y
_atom_site_fract_z
Mn1 0.125 0.125 0.125
Tl1 0.125 0.125 0.308
Si1 0.125 0.125 0.625
O1 0.071 0.287 0.835

=====

No. 4
# MnTlSiO2 (PBE with a Hubbard U, optimized geometry)
# V: 17.23 Å³ per atom
# E_tot: -5.10 eV/atom
data_MnTlSiO2
_chemical_formula_sum 'Mn1 Tl1 Si1 O2'
_symmetry_space_group_name_H-M 'P 4/m m m'
_symmetry_Int_Tables_number 123
_symmetry_space_group_name_Hall '-P 4 2'
_cell_length_a 3.841
_cell_length_b 3.841
_cell_length_c 5.839
_cell_angle_alpha 90.00
_cell_angle_beta 90.00
_cell_angle_gamma 90.00
loop_
_atom_site_label
_atom_site_fract_x
_atom_site_fract_y
_atom_site_fract_z
Mn1 0.000 0.000 0.000
Tl1 0.000 0.000 0.500
Si1 0.500 0.500 0.500
O1 0.000 0.500 0.000

=====

No. 5
# Tm2MnSiO6 (PBE with a Hubbard U, optimized geometry)
# V: 11.98 Å³ per atom
# E_tot: -7.77 eV/atom
data_Tm2MnSiO6
_chemical_formula_sum 'Tm2 Mn1 Si1 O6'
_symmetry_space_group_name_H-M 'P 4 m m'
_symmetry_Int_Tables_number 99
_cell_length_a 5.072
_cell_length_b 5.072
_cell_length_c 4.656
_cell_angle_alpha 90.00
_cell_angle_beta 90.00
_cell_angle_gamma 90.00
loop_
_symmetry_equiv_pos_as_xyz
'x,y,z'
'-y,x,z'
'-x,-y,z'
'y,-x,z'
'-x,y,z'
'y,x,z'
'x,-y,z'
'-y,-x,z'
loop_
_atom_site_label
_atom_site_fract_x
_atom_site_fract_y
_atom_site_fract_z
Tm1 0.000 0.500 0.000
Mn1 0.000 0.000 0.579
Si1 0.500 0.500 0.598
O1 0.000 0.000 0.140
O2 0.269 0.269 0.716
O3 0.500 0.500 0.239

=====

No. 6
# UMnSiO6 (PBE with a Hubbard U, optimized geometry)
# V: 11.38 Å³ per atom
# E_tot: -8.20 eV/atom
data_UMnSiO6
_chemical_formula_sum 'U2 Mn2 Si2 O12'
_symmetry_space_group_name_H-M 'P -3 1 c'
_symmetry_Int_Tables_number 163
_symmetry_space_group_name_Hall '-P 3 2c'
_cell_length_a 5.1642
_cell_length_b 5.1642
_cell_length_c 8.8652
_cell_angle_alpha 90.00
_cell_angle_beta 90.00
_cell_angle_gamma 120.00
loop_
_atom_site_label
_atom_site_fract_x
_atom_site_fract_y
_atom_site_fract_z
U1 0.3333 0.6667 0.2500
Mn1 0.0000 0.0000 0.0000
Si1 0.3333 0.6667 0.7500
O1 0.0421 0.3733 0.6364

=====

No. 7
# Mn2VSiO6 (PBE with a Hubbard U, optimized geometry)
# V: 9.91 Å³ per atom
# E_tot: -7.65 eV/atom
data_Mn2VSiO6
_chemical_formula_sum 'Mn6 V3 Si3 O18'
_symmetry_space_group_name_H-M 'R 3'
_symmetry_Int_Tables_number 146
_symmetry_space_group_name_Hall 'R 3'
_cell_length_a 5.0131
_cell_length_b 5.0131
_cell_length_c 13.6655
_cell_angle_alpha 90.00
_cell_angle_beta 90.00
_cell_angle_gamma 120.00
loop_
_atom_site_label
_atom_site_fract_x
_atom_site_fract_y
_atom_site_fract_z
Mn1 0.0000 0.0000 0.0000
Mn2 0.0000 0.0000 0.4727
V1 0.0000 0.0000 0.1955
Si1 0.0000 0.0000 0.6838
O1 0.0058 0.3965 0.4210
O2 0.0442 0.6777 0.2700

=====

No. 8
# MnVSiO2 (PBE with a Hubbard U, optimized geometry)
# V: 14.35 Å³ per atom
# E_tot: -6.14 eV/atom
data_MnVSiO2
_chemical_formula_sum 'Mn1 V1 Si1 O2'
_symmetry_space_group_name_H-M 'P 4/m m m'
_symmetry_Int_Tables_number 123
_symmetry_space_group_name_Hall '-P 4 2'
_cell_length_a 3.710
_cell_length_b 3.710
_cell_length_c 5.214
_cell_angle_alpha 90.00
_cell_angle_beta 90.00
_cell_angle_gamma 90.00
loop_
_atom_site_label
_atom_site_fract_x
_atom_site_fract_y
_atom_site_fract_z
Mn1 0.000 0.000 0.000
V1 0.500 0.500 0.500
Si1 0.000 0.000 0.500
O1 0.000 0.500 0.000

=====

> Which formula does entry 6 have?

UMnSiO6